# 1
{
  "formula": "Hg4AsCl3",
  "functional": "GGA-PBE",
  "state": "optimized geometry",
  "cell": [[10.923, 0.000, 0.000], [0.000, 7.363, 0.000], [0.000, 0.000, 7.682]],
  "species": ["Hg", "Hg", "Hg", "Hg", "Hg", "Hg", "Hg", "Hg", "As", "As", "Cl", "Cl", "Cl", "Cl", "Cl", "Cl"],
  "frac_coords": [[0.000, 0.089, 0.000], [0.000, 0.872, 0.425], [0.164, 0.292, 0.368], [0.336, 0.708, 0.868], [0.500, 0.128, 0.925], [0.500, 0.911, 0.500], [0.664, 0.708, 0.868], [0.836, 0.292, 0.368], [0.000, 0.177, 0.574], [0.500, 0.823, 0.074], [0.000, 0.619, 0.222], [0.174, 0.631, 0.669], [0.326, 0.369, 0.169], [0.500, 0.381, 0.722], [0.674, 0.369, 0.169], [0.826, 0.631, 0.669]],
  "energy_ev_per_atom": -1.80,
  "spacegroup": "Pmn2_1",
  "dos_ef_per_ev_fu": 0.0
}


# 2
{
  "formula": "HgAsCl",
  "functional": "GGA-PBE",
  "state": "optimized geometry",
  "cell": [[3.576, 0.000, 0.000], [0.000, 3.576, 0.000], [0.000, 0.000, 11.020]],
  "species": ["Hg", "Hg", "As", "As", "Cl", "Cl"],
  "frac_coords": [[0.000, 0.000, 0.000], [0.500, 0.500, 0.500], [0.000, 0.000, 0.386], [0.500, 0.500, 0.886], [0.000, 0.000, 0.707], [0.500, 0.500, 0.207]],
  "polymorph_energy_mev_per_atom": 574,
  "energy_ev_per_atom": -2.04,
  "spacegroup": "I4mm",
  "dos_ef_per_ev_fu": 1.1
}


# 3
{
  "formula": "HgAs2Cl",
  "functional": "GGA-PBE",
  "state": "optimized geometry",
  "cell": [[3.665, 0.000, 0.000], [0.000, 5.245, 0.000], [-1.005, 0.000, 5.225]],
  "species": ["Hg", "As", "As", "Cl"],
  "frac_coords": [[0.000, 0.000, 0.000], [0.213, 0.500, 0.837], [0.787, 0.500, 0.163], [0.500, 0.000, 0.500]],
  "polymorph_energy_mev_per_atom": 175,
  "energy_ev_per_atom": -2.84,
  "spacegroup": "P2/m",
  "dos_ef_per_ev_fu": 1.8
}


# 4
{
  "formula": "Hg2AsCl",
  "functional": "GGA-PBE",
  "state": "optimized geometry",
  "cell": [[4.153, 0.000, 0.000], [-2.077, 3.597, 0.000], [0.000, 0.000, 20.423]],
  "species": ["Hg", "Hg", "Hg", "Hg", "Hg", "Hg", "As", "As", "As", "Cl", "Cl", "Cl"],
  "frac_coords": [[0.000, 0.000, 0.238], [0.000, 0.000, 0.762], [0.333, 0.667, 0.429], [0.333, 0.667, 0.905], [0.667, 0.333, 0.095], [0.667, 0.333, 0.571], [0.000, 0.000, 0.500], [0.333, 0.667, 0.167], [0.667, 0.333, 0.833], [0.000, 0.000, 0.000], [0.333, 0.667, 0.667], [0.667, 0.333, 0.333]],
  "polymorph_energy_mev_per_atom": 206,
  "energy_ev_per_atom": -1.84,
  "spacegroup": "R-3m",
  "dos_ef_per_ev_fu": 1.2
}


What did the fourth record say?
{
  "formula": "Hg2AsCl",
  "functional": "GGA-PBE",
  "state": "optimized geometry",
  "cell": [[4.153, 0.000, 0.000], [-2.077, 3.597, 0.000], [0.000, 0.000, 20.423]],
  "species": ["Hg", "Hg", "Hg", "Hg", "Hg", "Hg", "As", "As", "As", "Cl", "Cl", "Cl"],
  "frac_coords": [[0.000, 0.000, 0.238], [0.000, 0.000, 0.762], [0.333, 0.667, 0.429], [0.333, 0.667, 0.905], [0.667, 0.333, 0.095], [0.667, 0.333, 0.571], [0.000, 0.000, 0.500], [0.333, 0.667, 0.167], [0.667, 0.333, 0.833], [0.000, 0.000, 0.000], [0.333, 0.667, 0.667], [0.667, 0.333, 0.333]],
  "polymorph_energy_mev_per_atom": 206,
  "energy_ev_per_atom": -1.84,
  "spacegroup": "R-3m",
  "dos_ef_per_ev_fu": 1.2
}


Repeat the fourth record exactly.
{
  "formula": "Hg2AsCl",
  "functional": "GGA-PBE",
  "state": "optimized geometry",
  "cell": [[4.153, 0.000, 0.000], [-2.077, 3.597, 0.000], [0.000, 0.000, 20.423]],
  "species": ["Hg", "Hg", "Hg", "Hg", "Hg", "Hg", "As", "As", "As", "Cl", "Cl", "Cl"],
  "frac_coords": [[0.000, 0.000, 0.238], [0.000, 0.000, 0.762], [0.333, 0.667, 0.429], [0.333, 0.667, 0.905], [0.667, 0.333, 0.095], [0.667, 0.333, 0.571], [0.000, 0.000, 0.500], [0.333, 0.667, 0.167], [0.667, 0.333, 0.833], [0.000, 0.000, 0.000], [0.333, 0.667, 0.667], [0.667, 0.333, 0.333]],
  "polymorph_energy_mev_per_atom": 206,
  "energy_ev_per_atom": -1.84,
  "spacegroup": "R-3m",
  "dos_ef_per_ev_fu": 1.2
}